Computed, not measured: crystalline Er2PaIrO8 at its relaxed geometry at the PBE level of DFT. Values from VASP.

Structure (Quantum ESPRESSO input):
```
&SYSTEM
  ibrav = 0, nat = 12, ntyp = 4
/
ATOMIC_SPECIES
Pa 231.04 Pa.upf
Er 167.26 Er.upf
O 16.00 O.upf
Ir 192.22 Ir.upf
ATOMIC_POSITIONS crystal
Pa 0.000 0.000 0.500
Er 0.500 0.500 0.757
Er 0.500 0.500 0.243
O 0.816 0.186 0.768
O 0.816 0.186 0.232
O 0.184 0.814 0.768
O 0.184 0.814 0.232
O 0.277 0.276 0.000
O 0.723 0.724 0.000
O 0.304 0.303 0.500
Ir 0.000 0.000 0.000
O 0.696 0.697 0.500
CELL_PARAMETERS angstrom
5.008 -0.072 -0.003
-0.050 5.008 -0.006
0.004 0.008 6.741
```

Volume (Å³/cell): 169.0
Final energy (eV per atom): -8.31
Space group: P2/m (10)